[1]
The following is a DFT calculation (GGA-PBE) of a relaxed structure of Pm2YCdO.

Magnetic moment, μB per cell: 0.00
ρ, g/cm3: 7.16
Uncorrected formation energy, kJ/mol of atoms: -126

Unit cell a=4.951 b=4.951 c=4.799 alpha=90.00 beta=90.00 gamma=90.00
Space group P4/mmm (No. 123)
Symmetry-distinct sites (fractional):
Pm 0.000 0.500 0.000
Y 0.000 0.000 0.500
Cd 0.500 0.500 0.500
O 0.000 0.000 0.000

***

[2]
The following is a DFT calculation (GGA-PBE) of a relaxed structure of Pr5Cd2O2.

Magnetic moment, μB per cell: 0.00
ρ, g/cm3: 6.53
Uncorrected formation energy, kJ/mol of atoms: -126

Unit cell a=18.623 b=7.281 c=7.211 alpha=90.00 beta=90.00 gamma=90.00
Space group Ima2 (No. 46)
Symmetry-distinct sites (fractional):
Pr 0.019 0.250 0.000
Pr 0.136 0.584 0.249
Pr 0.250 0.249 0.000
Cd 0.129 0.015 0.250
O 0.000 0.000 0.750
O 0.250 0.033 0.750

***

[3]
The following is a DFT calculation (GGA-PBE) of a relaxed structure of PrCdO.

Polymorph energy (0 for the lowest one), meV per atom: 0
Magnetic moment, μB per cell: 0.00
ρ, g/cm3: 6.45
Uncorrected formation energy, kJ/mol of atoms: -188

Unit cell a=4.081 b=4.081 c=8.327 alpha=90.00 beta=90.00 gamma=90.00
Space group P4/nmm (No. 129, origin choice 2)
Symmetry-distinct sites (fractional):
Pr 0.250 0.250 0.141
Cd 0.250 0.250 0.576
O 0.250 0.750 0.000

***

[4]
The following is a DFT calculation (GGA-PBE) of a relaxed structure of Pr3Cd5O12.

Magnetic moment, μB per cell: 29.48
ρ, g/cm3: 6.27
Uncorrected formation energy, kJ/mol of atoms: -148

Unit cell a=13.556 b=13.556 c=13.556 alpha=90.00 beta=90.00 gamma=90.00
Space group Ia-3d (No. 230)
Symmetry-distinct sites (fractional):
Pr 0.000 0.250 0.125
Cd 0.000 0.000 0.000
Cd 0.000 0.250 0.375
O 0.018 0.066 0.652